Entry from Alexandria via LeMat-Bulk: CeHf2Zr3N6 after structural relaxation (GGA-PBE).

Lattice parameters (Å, degrees): 7.351 7.351 6.647 102.60 102.60 25.73
Sites, in units of the cell vectors:
Ce  0.000  0.000  0.000
Hf  0.331  0.331  0.664
Hf  0.669  0.669  0.336
Zr  0.000  0.000  0.500
Zr  0.333  0.333  0.168
Zr  0.667  0.667  0.832
N  0.170  0.170  0.575
N  0.173  0.173  0.098
N  0.494  0.494  0.731
N  0.506  0.506  0.269
N  0.827  0.827  0.902
N  0.830  0.830  0.425

Output
Energy, eV per atom: -10.126
Energy relative to the elements, uncorrected, eV per atom: -1.673
SG: C2/m (12)
Magnetic moment, μB per cell: 0.000